1.
BeTcRh | the Alexandria database | PBE | relaxed; space group = No. 8; formation energy from the elements = -5.58 kcal/mol of atoms
1.0
-0.7389 4.3870 -1.1373
-3.9285 -2.0828 -1.1937
-0.0636 3.1381 3.2298
Be Tc Rh
2 2 2
direct
0.4448 0.6093 0.2022
0.4448 0.6092 0.7017
0.9466 0.4188 0.6059
0.2557 0.1116 0.7977
0.6258 0.0959 0.1048
0.9324 0.7917 0.2994

2.
BeTc2Rh | the Alexandria database | PBE | relaxed; space group = No. 25; formation energy from the elements = -1.49 kcal/mol of atoms
1.0
2.7257 0.0000 0.0000
0.0000 3.7097 0.0000
0.0000 0.0000 5.2661
Tc Rh Be
2 1 1
direct
0.0000 0.0000 0.0166
0.5000 0.5000 0.2537
0.5000 0.5000 0.7166
0.0000 0.0000 0.5131

3.
BeTcRh | the Alexandria database | PBE | relaxed; space group = No. 63; formation energy from the elements = -7.16 kcal/mol of atoms
1.0
-1.5893 -2.3997 2.7752
3.4629 0.1371 2.1016
-3.2411 3.5352 1.2009
Be Rh Tc
2 2 2
direct
0.7958 0.4723 0.4919
0.2957 0.9777 0.5035
0.7958 0.1210 0.7896
0.2958 0.3289 0.2060
0.2957 0.6398 0.8276
0.7957 0.8102 0.1680

4.
BeTcRh2 | the Alexandria database | PBE | relaxed; space group = No. 123; formation energy from the elements = -8.59 kcal/mol of atoms
1.0
2.7578 0.0000 0.0000
0.0000 2.7578 0.0000
0.0000 0.0000 6.5855
Rh Tc Be
2 1 1
direct
0.0000 0.0000 0.5339
0.0000 0.0000 0.9661
0.5000 0.5000 0.2500
0.5000 0.5000 0.7500